Model a:
TaOs2Au | PBE | relaxed

Crystal system = tetragonal
Calculated density = 19.48 g/cm3

Structure (CIF):
```
data_TaOs2Au
_chemical_formula_sum 'Ta1 Os2 Au1'
_cell_length_a 2.816
_cell_length_b 2.816
_cell_length_c 8.148
_cell_angle_alpha 90.00
_cell_angle_beta 90.00
_cell_angle_gamma 90.00
_symmetry_space_group_name_H-M 'P 4 m m'
_symmetry_Int_Tables_number 99
_symmetry_space_group_name_Hall 'P 4 -2'
loop_
_atom_site_label
_atom_site_type_symbol
_atom_site_fract_x
_atom_site_fract_y
_atom_site_fract_z
Ta1 Ta 0.000 0.000 0.000
Os1 Os 0.000 0.000 0.530
Os2 Os 0.500 0.500 0.738
Au1 Au 0.500 0.500 0.260
```

***

Model b:
TaOs2Au | PBE | relaxed

Crystal system = tetragonal
Calculated density = 20.07 g/cm3

Structure (CIF):
```
data_TaOs2Au
_chemical_formula_sum 'Ta1 Os2 Au1'
_cell_length_a 4.042
_cell_length_b 4.042
_cell_length_c 3.841
_cell_angle_alpha 90.00
_cell_angle_beta 90.00
_cell_angle_gamma 90.00
_symmetry_space_group_name_H-M 'P 4/m m m'
_symmetry_Int_Tables_number 123
_symmetry_space_group_name_Hall '-P 4 2'
loop_
_atom_site_label
_atom_site_type_symbol
_atom_site_fract_x
_atom_site_fract_y
_atom_site_fract_z
Ta1 Ta 0.000 0.000 0.000
Os1 Os 0.000 0.500 0.500
Au1 Au 0.500 0.500 0.000
```

***

Of them, model a has the lowest stability.

***

Model a:
Ta3OsAu | PBE | relaxed

Crystal system = cubic
Calculated density = 13.67 g/cm3

Structure (CIF):
```
data_Ta3OsAu
_chemical_formula_sum 'Ta3 Os1 Au1'
_cell_length_a 4.834
_cell_length_b 4.834
_cell_length_c 4.834
_cell_angle_alpha 90.00
_cell_angle_beta 90.00
_cell_angle_gamma 90.00
_symmetry_space_group_name_H-M 'P m -3 m'
_symmetry_Int_Tables_number 221
_symmetry_space_group_name_Hall '-P 4 2 3'
loop_
_atom_site_label
_atom_site_type_symbol
_atom_site_fract_x
_atom_site_fract_y
_atom_site_fract_z
Ta1 Ta 0.000 0.000 0.500
Os1 Os 0.500 0.500 0.500
Au1 Au 0.000 0.000 0.000
```

***

Model b:
Ta3OsAu | PBE | relaxed

Crystal system = cubic
Calculated density = 13.78 g/cm3

Structure (CIF):
```
data_Ta3OsAu
_chemical_formula_sum 'Ta3 Os1 Au1'
_cell_length_a 4.822
_cell_length_b 4.822
_cell_length_c 4.822
_cell_angle_alpha 90.00
_cell_angle_beta 90.00
_cell_angle_gamma 90.00
_symmetry_space_group_name_H-M 'P m -3 m'
_symmetry_Int_Tables_number 221
_symmetry_space_group_name_Hall '-P 4 2 3'
loop_
_atom_site_label
_atom_site_type_symbol
_atom_site_fract_x
_atom_site_fract_y
_atom_site_fract_z
Ta1 Ta 0.000 0.000 0.500
Os1 Os 0.000 0.000 0.000
Au1 Au 0.500 0.500 0.500
```

***

Of them, model a has the lowest stability.

***

Model a:
Tb8OsAu2 | PBE | relaxed

Crystal system = monoclinic
Calculated density = 10.43 g/cm3

Structure (CIF):
```
data_Tb8OsAu2
_chemical_formula_sum 'Tb16 Os2 Au4'
_cell_length_a 17.479
_cell_length_b 5.141
_cell_length_c 6.862
_cell_angle_alpha 90.00
_cell_angle_beta 106.58
_cell_angle_gamma 90.00
_symmetry_space_group_name_H-M 'C 1 2/m 1'
_symmetry_Int_Tables_number 12
_symmetry_space_group_name_Hall '-C 2y'
loop_
_atom_site_label
_atom_site_type_symbol
_atom_site_fract_x
_atom_site_fract_y
_atom_site_fract_z
Tb1 Tb 0.029 0.000 0.295
Tb2 Tb 0.089 0.500 0.934
Tb3 Tb 0.161 0.500 0.467
Tb4 Tb 0.201 0.000 0.811
Os1 Os 0.000 0.500 0.500
Au1 Au 0.186 0.000 0.218
```

***

Model b:
Tb8OsAu2 | PBE | relaxed

Crystal system = monoclinic
Calculated density = 10.04 g/cm3

Structure (CIF):
```
data_Tb8OsAu2
_chemical_formula_sum 'Tb16 Os2 Au4'
_cell_length_a 7.754
_cell_length_b 15.670
_cell_length_c 6.187
_cell_angle_alpha 90.00
_cell_angle_beta 125.30
_cell_angle_gamma 90.00
_symmetry_space_group_name_H-M 'C 1 m 1'
_symmetry_Int_Tables_number 8
_symmetry_space_group_name_Hall 'C -2y'
loop_
_atom_site_label
_atom_site_type_symbol
_atom_site_fract_x
_atom_site_fract_y
_atom_site_fract_z
Tb1 Tb 0.000 0.000 0.000
Tb2 Tb 0.029 0.122 0.553
Tb3 Tb 0.220 0.309 0.898
Tb4 Tb 0.448 0.000 0.660
Tb5 Tb 0.493 0.115 0.223
Os1 Os 0.259 0.500 0.176
Au1 Au 0.244 0.215 0.358
```

***

Of them, model b has the lowest stability.

***

Model a:
Tc2Os2Au | PBE | relaxed

Crystal system = tetragonal
Calculated density = 16.15 g/cm3

Structure (CIF):
```
data_Tc2Os2Au
_chemical_formula_sum 'Tc4 Os4 Au2'
_cell_length_a 7.607
_cell_length_b 7.607
_cell_length_c 2.749
_cell_angle_alpha 90.00
_cell_angle_beta 90.00
_cell_angle_gamma 90.00
_symmetry_space_group_name_H-M 'P 4/m b m'
_symmetry_Int_Tables_number 127
_symmetry_space_group_name_Hall '-P 4 2ab'
loop_
_atom_site_label
_atom_site_type_symbol
_atom_site_fract_x
_atom_site_fract_y
_atom_site_fract_z
Tc1 Tc 0.124 0.376 0.000
Os1 Os 0.163 0.663 0.500
Au1 Au 0.000 0.000 0.000
```

***

Model b:
Tc2Os2Au | PBE | relaxed

Crystal system = tetragonal
Calculated density = 16.22 g/cm3

Structure (CIF):
```
data_Tc2Os2Au
_chemical_formula_sum 'Tc4 Os4 Au2'
_cell_length_a 7.576
_cell_length_b 7.576
_cell_length_c 2.759
_cell_angle_alpha 90.00
_cell_angle_beta 90.00
_cell_angle_gamma 90.00
_symmetry_space_group_name_H-M 'P 4/m b m'
_symmetry_Int_Tables_number 127
_symmetry_space_group_name_Hall '-P 4 2ab'
loop_
_atom_site_label
_atom_site_type_symbol
_atom_site_fract_x
_atom_site_fract_y
_atom_site_fract_z
Tc1 Tc 0.165 0.335 0.000
Os1 Os 0.124 0.624 0.500
Au1 Au 0.000 0.000 0.500
```

***

Of them, model a has the lowest stability.

***

Model a:
Tc2OsAu | PBE | relaxed

Crystal system = tetragonal
Calculated density = 13.91 g/cm3

Structure (CIF):
```
data_Tc2OsAu
_chemical_formula_sum 'Tc8 Os4 Au4'
_cell_length_a 7.209
_cell_length_b 7.209
_cell_length_c 5.358
_cell_angle_alpha 90.00
_cell_angle_beta 90.00
_cell_angle_gamma 90.00
_symmetry_space_group_name_H-M 'I -4 2 d'
_symmetry_Int_Tables_number 122
_symmetry_space_group_name_Hall 'I -4 2bw'
loop_
_atom_site_label
_atom_site_type_symbol
_atom_site_fract_x
_atom_site_fract_y
_atom_site_fract_z
Tc1 Tc 0.202 0.250 0.125
Os1 Os 0.000 0.000 0.000
Au1 Au 0.000 0.000 0.500
```

***

Model b:
Tc2OsAu | PBE | relaxed

Crystal system = tetragonal
Calculated density = 16.08 g/cm3

Structure (CIF):
```
data_Tc2OsAu
_chemical_formula_sum 'Tc2 Os1 Au1'
_cell_length_a 3.906
_cell_length_b 3.906
_cell_length_c 3.947
_cell_angle_alpha 90.00
_cell_angle_beta 90.00
_cell_angle_gamma 90.00
_symmetry_space_group_name_H-M 'P 4/m m m'
_symmetry_Int_Tables_number 123
_symmetry_space_group_name_Hall '-P 4 2'
loop_
_atom_site_label
_atom_site_type_symbol
_atom_site_fract_x
_atom_site_fract_y
_atom_site_fract_z
Tc1 Tc 0.000 0.500 0.000
Os1 Os 0.000 0.000 0.500
Au1 Au 0.500 0.500 0.500
```

***

Model c:
Tc2OsAu | PBE | relaxed

Crystal system = tetragonal
Calculated density = 15.41 g/cm3

Structure (CIF):
```
data_Tc2OsAu
_chemical_formula_sum 'Tc2 Os1 Au1'
_cell_length_a 3.249
_cell_length_b 3.249
_cell_length_c 5.952
_cell_angle_alpha 90.00
_cell_angle_beta 90.00
_cell_angle_gamma 90.00
_symmetry_space_group_name_H-M 'P 4 m m'
_symmetry_Int_Tables_number 99
_symmetry_space_group_name_Hall 'P 4 -2'
loop_
_atom_site_label
_atom_site_type_symbol
_atom_site_fract_x
_atom_site_fract_y
_atom_site_fract_z
Tc1 Tc 0.000 0.000 0.000
Tc2 Tc 0.500 0.500 0.197
Os1 Os 0.500 0.500 0.759
Au1 Au 0.000 0.000 0.480
```

***

Model d:
Tc2OsAu | PBE | relaxed

Crystal system = monoclinic
Calculated density = 15.84 g/cm3

Structure (CIF):
```
data_Tc2OsAu
_chemical_formula_sum 'Tc4 Os2 Au2'
_cell_length_a 9.258
_cell_length_b 2.802
_cell_length_c 4.789
_cell_angle_alpha 90.00
_cell_angle_beta 100.35
_cell_angle_gamma 90.00
_symmetry_space_group_name_H-M 'C 1 2/m 1'
_symmetry_Int_Tables_number 12
_symmetry_space_group_name_Hall '-C 2y'
loop_
_atom_site_label
_atom_site_type_symbol
_atom_site_fract_x
_atom_site_fract_y
_atom_site_fract_z
Tc1 Tc 0.242 0.000 0.225
Os1 Os 0.000 0.500 0.000
Au1 Au 0.000 0.000 0.500
```

***

Of them, model a has the lowest stability.

***

Model a:
Tc2OsAu | PBE | relaxed

Crystal system = orthorhombic
Calculated density = 15.84 g/cm3

Structure (CIF):
```
data_Tc2OsAu
_chemical_formula_sum 'Tc2 Os1 Au1'
_cell_length_a 2.779
_cell_length_b 3.952
_cell_length_c 5.566
_cell_angle_alpha 90.00
_cell_angle_beta 90.00
_cell_angle_gamma 90.00
_symmetry_space_group_name_H-M 'P m m m'
_symmetry_Int_Tables_number 47
_symmetry_space_group_name_Hall '-P 2 2'
loop_
_atom_site_label
_atom_site_type_symbol
_atom_site_fract_x
_atom_site_fract_y
_atom_site_fract_z
Tc1 Tc 0.000 0.000 0.224
Os1 Os 0.500 0.500 0.000
Au1 Au 0.500 0.500 0.500
```

***

Model b:
Tc2OsAu | PBE | relaxed

Crystal system = orthorhombic
Calculated density = 16.03 g/cm3

Structure (CIF):
```
data_Tc2OsAu
_chemical_formula_sum 'Tc4 Os2 Au2'
_cell_length_a 5.491
_cell_length_b 7.854
_cell_length_c 2.801
_cell_angle_alpha 90.00
_cell_angle_beta 90.00
_cell_angle_gamma 90.00
_symmetry_space_group_name_H-M 'C m m m'
_symmetry_Int_Tables_number 65
_symmetry_space_group_name_Hall '-C 2 2'
loop_
_atom_site_label
_atom_site_type_symbol
_atom_site_fract_x
_atom_site_fract_y
_atom_site_fract_z
Tc1 Tc 0.250 0.250 0.000
Os1 Os 0.000 0.000 0.500
Au1 Au 0.000 0.500 0.500
```

***

Of them, model b has the lowest stability.